1.
Entry from Alexandria via LeMat-Bulk: a relaxed YCu crystal (GGA-PBE).

Magnetic moment (μB per formula unit): 0.00
Crystal system: cubic
Energy of formation (meV/atom): 87

abc: 6.7662 6.7662 6.7662
angles: 90.00 90.00 90.00
Closest atoms and distances in Å follow each position.
Space group Fd-3m (No. 227, origin choice 2)
One atom of each set of equivalent atoms:
Y (0.1250, 0.1250, 0.1250)  4 Cu 2.93, 4 Y 2.93
Cu (0.1250, 0.1250, 0.6250)  4 Cu 2.93, 4 Y 2.93

2.
Entry from Alexandria via LeMat-Bulk: a relaxed K2NaHg12Au3 crystal (GGA-PBE).

Magnetic moment (μB per formula unit): 0.00
Crystal system: trigonal
Energy of formation (meV/atom): -34

abc: 10.1898 10.1898 20.9765
angles: 90.00 90.00 120.00
Closest atoms and distances in Å follow each position.
Space group R-3m (No. 166, hexagonal axes)
One atom of each set of equivalent atoms:
K (0.0000, 0.0000, 0.0964)  6 Hg 3.49-3.57
Na (0.0000, 0.0000, 0.5000)  6 Hg 3.17
Hg (0.0182, 0.5091, 0.8637)  1 Au 2.86, 1 Na 3.17
Hg (0.0327, 0.5163, 0.3570)  2 Au 2.85
Au (0.0000, 0.5000, 0.0000)  6 Hg 2.85-2.86

3.
Entry from Alexandria via LeMat-Bulk: a relaxed Zr2CrSe crystal (GGA-PBE).

Magnetic moment (μB per formula unit): 2.64
Crystal system: tetragonal
Formation energy without anion corrections (kJ/mol of formula units): -35

abc: 4.3284 4.3284 8.1378
angles: 90.00 90.00 90.00
Closest atoms and distances in Å follow each position.
Space group I4/mmm (No. 139)
One atom of each set of equivalent atoms:
Zr (0.0000, 0.5000, 0.2500)  4 Cr 2.97, 4 Se 2.97, 4 Zr 3.06
Cr (0.0000, 0.0000, 0.0000)  8 Zr 2.97, 4 Se 3.06
Se (0.0000, 0.0000, 0.5000)  8 Zr 2.97, 4 Cr 3.06

4.
Entry from Alexandria via LeMat-Bulk: a relaxed ZrOsC2 crystal (GGA-PBE).

Magnetic moment (μB per formula unit): 0.00
Crystal system: cubic
ΔE to the lowest computed polymorph (eV per atom): 0.381
Energy of formation (meV/atom): 622

abc: 5.5863 5.5863 5.5863
angles: 90.00 90.00 90.00
Closest atoms and distances in Å follow each position.
Space group Fm-3m (No. 225)
One atom of each set of equivalent atoms:
Zr (0.0000, 0.0000, 0.0000)  8 C 2.42
Os (0.0000, 0.0000, 0.5000)  8 C 2.42
C (0.2500, 0.2500, 0.2500)  4 Zr 2.42, 4 Os 2.42